(1)
The following is a DFT calculation (PBE) of crystalline DyHfPa at its relaxed geometry.

a b c (Å): 5.025 5.025 5.025
angles (deg): 60.00 60.00 60.00
Fractional coordinates of all 3 atoms:
Pa1 0.750 0.750 0.750
Hf1 0.000 0.000 0.000
Dy1 0.250 0.250 0.250

Output
uncorrected energy = -7.11 eV/atom
calculated density = 10.59 g/cm³
calculated formation energy = 910 meV per atom
space-group type = F-43m



(2)
The following is a DFT calculation (PBE) of crystalline YZrNO at its relaxed geometry.

a b c (Å): 4.758 4.758 4.651
angles (deg): 90.00 90.00 90.00
Fractional coordinates of all 8 atoms:
Zr1 0.251 0.251 0.001
Zr2 0.749 0.749 0.000
O1 0.751 0.249 0.000
O2 0.249 0.751 0.000
Y1 0.750 0.250 0.500
Y2 0.250 0.750 0.500
N1 0.250 0.250 0.501
N2 0.750 0.750 0.499

Output
uncorrected energy = -9.13 eV/atom
calculated density = 6.63 g/cm³
space-group type = C2/m